Record 1
ErTeAs: optimized geometry, PBE.

abc: 3.6483 3.6483 15.6032
angles: 90.00 90.00 120.00
Element x y z (fractional)
Er 0.0000 0.0000 0.0000
Er 0.3333 0.6667 0.5000
Te 0.3333 0.6667 0.1403
Te 0.3333 0.6667 0.8597
As 0.0000 0.0000 0.3649
As 0.0000 0.0000 0.6351

density of states at the Fermi level = 1.010 states/eV per atom
energy relative to the elements, uncorrected = -0.362 eV per atom
total energy = -26.9 eV for the cell shown

=====

Record 2
Er6TeAs5: optimized geometry, PBE.

abc: 7.1384 7.1384 7.1429
angles: 99.62 99.62 119.92
Element x y z (fractional)
Er 0.0641 0.4135 0.7411
Er 0.2365 0.2365 0.2570
Er 0.4135 0.0641 0.7411
Er 0.5865 0.9359 0.2589
Er 0.7635 0.7635 0.7430
Er 0.9359 0.5865 0.2589
Te 0.5000 0.5000 0.0000
As 0.0000 0.0000 0.5000
As 0.1674 0.8326 0.0000
As 0.3383 0.6617 0.5000
As 0.6617 0.3383 0.5000
As 0.8326 0.1674 0.0000

density of states at the Fermi level = 0.217 states/eV per atom
energy relative to the elements, uncorrected = -1.509 eV per atom
total energy = -71.9 eV for the cell shown

=====

Record 3
Er3TeAs2: optimized geometry, PBE.

abc: 7.9836 7.9836 7.9836
angles: 124.98 90.75 114.43
Element x y z (fractional)
Er 0.0000 0.2279 0.2279
Er 0.0000 0.7721 0.7721
Er 0.5000 0.0000 0.0000
Er 0.5000 0.2279 0.7279
Er 0.5000 0.5000 0.5000
Er 0.5000 0.7721 0.2721
Te 0.1883 0.9383 0.2500
Te 0.8117 0.0617 0.7500
As 0.2673 0.7138 0.5535
As 0.3397 0.2862 0.0535
As 0.6603 0.7138 0.9465
As 0.7327 0.2862 0.4465

density of states at the Fermi level = 0.420 states/eV per atom
energy relative to the elements, uncorrected = -1.038 eV per atom
total energy = -64.7 eV for the cell shown